## SiS2NF (PBE-GGA)

Data for a relaxed SiS2NF crystal.

Results
* offset from the most stable computed form: 0 meV/atom
* energy relative to the elements, uncorrected: 11.1 kcal/mol of atoms
* crystal system: tetragonal

Unit cell a=4.628 b=4.628 c=3.385 alpha=90.00 beta=90.00 gamma=90.00
Space group P4/mmm (No. 123)
Unique sites:
1 Si 0.000 0.000 0.000
2 S 0.000 0.500 0.000
3 N 0.000 0.000 0.500
4 F 0.500 0.500 0.500